Entry 1:
Computed, not measured: crystalline TeMo2Pt at its relaxed geometry at the GGA-PBE level of DFT.

Volume   17.1 A^3/atom
M_tot   0.000 Bohr magnetons per cell
Uncorrected formation energy   23.5 kJ per mole of atoms
SG   No. 44

Cell: 5.304 5.304 5.304 Å, 143.55 128.70 64.56°
Sites, in units of the cell vectors:
Te 0.000 0.000 0.000
Mo 0.240 0.740 0.500
Mo 0.498 0.498 0.000
Pt 0.765 0.265 0.500


Entry 2:
Computed, not measured: crystalline TeMo2Pt at its relaxed geometry at the GGA-PBE level of DFT.

Volume   17.8 A^3/atom
M_tot   0.000 Bohr magnetons per cell
Uncorrected formation energy   18.9 kJ per mole of atoms
SG   No. 99

Cell: 3.397 3.397 6.166 Å, 90.00 90.00 90.00°
Sites, in units of the cell vectors:
Te 0.000 0.000 0.000
Mo 0.000 0.000 0.489
Mo 0.500 0.500 0.279
Pt 0.500 0.500 0.728


Entry 3:
Computed, not measured: crystalline TeMo2Pt at its relaxed geometry at the GGA-PBE level of DFT.

Volume   17.7 A^3/atom
M_tot   1.596 Bohr magnetons per cell
Uncorrected formation energy   48.9 kJ per mole of atoms
SG   No. 216

Cell: 4.646 4.646 4.646 Å, 60.00 60.00 60.00°
Sites, in units of the cell vectors:
Te 0.000 0.000 0.000
Mo 0.500 0.500 0.500
Mo 0.750 0.750 0.750
Pt 0.250 0.250 0.250


Entry 4:
Computed, not measured: crystalline Te2MoPt at its relaxed geometry at the GGA-PBE level of DFT.

Energy relative to the lowest polymorph listed for this composition   437 meV per atom
Volume   19.6 A^3/atom
M_tot   0.012 Bohr magnetons per cell
Uncorrected formation energy   31.2 kJ per mole of atoms
SG   No. 123

Cell: 4.724 4.724 3.511 Å, 90.00 90.00 90.00°
Sites, in units of the cell vectors:
Te 0.000 0.500 0.000
Te 0.500 0.000 0.000
Mo 0.000 0.000 0.500
Pt 0.500 0.500 0.500


Entry 5:
Computed, not measured: crystalline Te2MoPt at its relaxed geometry at the GGA-PBE level of DFT.

Energy relative to the lowest polymorph listed for this composition   409 meV per atom
Volume   27.8 A^3/atom
M_tot   0.001 Bohr magnetons per cell
Uncorrected formation energy   28.5 kJ per mole of atoms
SG   No. 122

Cell: 7.335 7.335 7.335 Å, 130.55 130.55 72.53°
Sites, in units of the cell vectors:
Te 0.123 0.625 0.998
Te 0.375 0.373 0.498
Te 0.627 0.125 0.002
Te 0.875 0.877 0.502
Mo 0.000 0.000 0.000
Mo 0.750 0.250 0.500
Pt 0.250 0.750 0.500
Pt 0.500 0.500 0.000


Entry 6:
Computed, not measured: crystalline TeMo2Pt at its relaxed geometry at the GGA-PBE level of DFT.

Volume   17.4 A^3/atom
M_tot   0.000 Bohr magnetons per cell
Uncorrected formation energy   28.8 kJ per mole of atoms
SG   No. 25

Cell: 3.061 4.779 4.769 Å, 90.00 90.00 90.00°
Sites, in units of the cell vectors:
Te 0.000 0.000 0.000
Mo 0.000 0.500 0.714
Mo 0.500 0.000 0.504
Pt 0.500 0.500 0.231


Entry 7:
Computed, not measured: crystalline TeMo2Pt at its relaxed geometry at the GGA-PBE level of DFT.

Volume   17.1 A^3/atom
M_tot   0.000 Bohr magnetons per cell
Uncorrected formation energy   22.6 kJ per mole of atoms
SG   No. 123

Cell: 3.177 3.177 6.770 Å, 90.00 90.00 90.00°
Sites, in units of the cell vectors:
Te 0.000 0.000 0.000
Mo 0.500 0.500 0.251
Mo 0.500 0.500 0.749
Pt 0.000 0.000 0.500


Entry 8:
Computed, not measured: crystalline Te2MoPt at its relaxed geometry at the GGA-PBE level of DFT.

Energy relative to the lowest polymorph listed for this composition   288 meV per atom
Volume   22.7 A^3/atom
M_tot   0.000 Bohr magnetons per cell
Uncorrected formation energy   16.8 kJ per mole of atoms
SG   No. 166

Cell: 9.030 9.030 9.030 Å, 22.01 22.01 22.01°
Sites, in units of the cell vectors:
Te 0.096 0.096 0.096
Te 0.904 0.904 0.904
Mo 0.500 0.500 0.500
Pt 0.000 0.000 0.000


Entry 9:
Computed, not measured: crystalline Te2MoPt at its relaxed geometry at the GGA-PBE level of DFT.

Energy relative to the lowest polymorph listed for this composition   138 meV per atom
Volume   23.6 A^3/atom
M_tot   0.002 Bohr magnetons per cell
Uncorrected formation energy   2.4 kJ per mole of atoms
SG   No. 99

Cell: 3.576 3.576 7.379 Å, 90.00 90.00 90.00°
Sites, in units of the cell vectors:
Te 0.000 0.000 0.000
Te 0.500 0.500 0.463
Mo 0.000 0.000 0.637
Pt 0.500 0.500 0.849


Entry 10:
Computed, not measured: crystalline TeMo2Pt at its relaxed geometry at the GGA-PBE level of DFT.

Volume   17.9 A^3/atom
M_tot   0.000 Bohr magnetons per cell
Uncorrected formation energy   21.9 kJ per mole of atoms
SG   No. 8

Cell: 4.974 4.974 4.818 Å, 101.05 101.05 37.73°
Sites, in units of the cell vectors:
Te 0.000 0.000 0.000
Mo 0.475 0.475 0.467
Mo 0.761 0.761 0.291
Pt 0.227 0.227 0.730


Entry 11:
Computed, not measured: crystalline TeMo2Pt at its relaxed geometry at the GGA-PBE level of DFT.

Volume   18.6 A^3/atom
M_tot   0.000 Bohr magnetons per cell
Uncorrected formation energy   27.6 kJ per mole of atoms
SG   No. 160

Cell: 8.623 8.623 8.623 Å, 21.36 21.36 21.36°
Sites, in units of the cell vectors:
Te 0.000 0.000 0.000
Mo 0.494 0.494 0.494
Mo 0.757 0.757 0.757
Pt 0.240 0.240 0.240


Entry 12:
Computed, not measured: crystalline Te2MoPt at its relaxed geometry at the GGA-PBE level of DFT.

Energy relative to the lowest polymorph listed for this composition   481 meV per atom
Volume   20.3 A^3/atom
M_tot   0.067 Bohr magnetons per cell
Uncorrected formation energy   35.5 kJ per mole of atoms
SG   No. 71

Cell: 5.141 5.141 5.141 Å, 131.01 125.43 76.35°
Sites, in units of the cell vectors:
Te 0.213 0.213 0.000
Te 0.787 0.787 0.000
Mo 0.500 0.000 0.500
Pt 0.000 0.500 0.500


Entry 13:
Computed, not measured: crystalline Te2MoPt at its relaxed geometry at the GGA-PBE level of DFT.

Energy relative to the lowest polymorph listed for this composition   702 meV per atom
Volume   20.5 A^3/atom
M_tot   0.003 Bohr magnetons per cell
Uncorrected formation energy   56.8 kJ per mole of atoms
SG   No. 47

Cell: 3.496 4.364 5.382 Å, 90.00 90.00 90.00°
Sites, in units of the cell vectors:
Te 0.000 0.000 0.000
Te 0.500 0.000 0.500
Mo 0.000 0.500 0.500
Pt 0.500 0.500 0.000


Entry 14:
Computed, not measured: crystalline Te2MoPt at its relaxed geometry at the GGA-PBE level of DFT.

Energy relative to the lowest polymorph listed for this composition   576 meV per atom
Volume   20.2 A^3/atom
M_tot   1.401 Bohr magnetons per cell
Uncorrected formation energy   44.7 kJ per mole of atoms
SG   No. 119

Cell: 5.682 5.682 5.682 Å, 138.10 138.10 60.75°
Sites, in units of the cell vectors:
Te 0.000 0.000 0.000
Te 0.750 0.250 0.500
Mo 0.250 0.750 0.500
Pt 0.500 0.500 0.000


Entry 15:
Computed, not measured: crystalline Te3MoPt at its relaxed geometry at the GGA-PBE level of DFT.

Energy relative to the lowest polymorph listed for this composition   58 meV per atom
Volume   29.6 A^3/atom
M_tot   2.967 Bohr magnetons per cell
Uncorrected formation energy   90.9 kJ per mole of atoms
SG   No. 221

Cell: 5.287 5.287 5.287 Å, 90.00 90.00 90.00°
Sites, in units of the cell vectors:
Te 0.000 0.000 0.500
Te 0.000 0.500 0.000
Te 0.500 0.000 0.000
Mo 0.500 0.500 0.500
Pt 0.000 0.000 0.000


Entry 16:
Computed, not measured: crystalline Te2MoPt at its relaxed geometry at the GGA-PBE level of DFT.

Energy relative to the lowest polymorph listed for this composition   228 meV per atom
Volume   25.1 A^3/atom
M_tot   1.039 Bohr magnetons per cell
Uncorrected formation energy   11.1 kJ per mole of atoms
SG   No. 44

Cell: 7.657 7.657 7.657 Å, 153.03 150.37 40.50°
Sites, in units of the cell vectors:
Te 0.000 0.000 0.000
Te 0.747 0.247 0.500
Mo 0.586 0.586 0.000
Pt 0.216 0.716 0.500


Entry 17:
Computed, not measured: crystalline Te2MoPt at its relaxed geometry at the GGA-PBE level of DFT.

Energy relative to the lowest polymorph listed for this composition   583 meV per atom
Volume   21.6 A^3/atom
M_tot   0.000 Bohr magnetons per cell
Uncorrected formation energy   45.3 kJ per mole of atoms
SG   No. 12

Cell: 5.554 5.554 2.916 Å, 90.10 90.10 106.06°
Sites, in units of the cell vectors:
Te 0.000 0.500 0.000
Te 0.500 0.000 0.000
Mo 0.000 0.000 0.000
Pt 0.500 0.500 0.000


Entry 18:
Computed, not measured: crystalline TeMo2Pt at its relaxed geometry at the GGA-PBE level of DFT.

Volume   17.3 A^3/atom
M_tot   0.000 Bohr magnetons per cell
Uncorrected formation energy   29.5 kJ per mole of atoms
SG   No. 71

Cell: 5.334 5.334 5.334 Å, 143.09 129.76 63.95°
Sites, in units of the cell vectors:
Te 0.000 0.000 0.000
Mo 0.233 0.733 0.500
Mo 0.767 0.267 0.500
Pt 0.500 0.500 0.000


Entry 19:
Computed, not measured: crystalline TeMo2Pt at its relaxed geometry at the GGA-PBE level of DFT.

Volume   17.3 A^3/atom
M_tot   0.000 Bohr magnetons per cell
Uncorrected formation energy   34.9 kJ per mole of atoms
SG   No. 166

Cell: 8.942 8.942 8.942 Å, 19.44 19.44 19.44°
Sites, in units of the cell vectors:
Te 0.000 0.000 0.000
Mo 0.250 0.250 0.250
Mo 0.750 0.750 0.750
Pt 0.500 0.500 0.500


Entry 20:
Computed, not measured: crystalline Ti5MoPt2 at its relaxed geometry at the GGA-PBE level of DFT.

Energy relative to the elements   -436 kJ/mol of formula units
Volume   16.0 A^3/atom
M_tot   0.001 Bohr magnetons per cell
SG   No. 139

Cell: 7.059 7.059 7.059 Å, 142.82 142.82 53.59°
Sites, in units of the cell vectors:
Ti 0.000 0.000 0.000
Ti 0.124 0.624 0.500
Ti 0.376 0.876 0.500
Ti 0.624 0.124 0.500
Ti 0.876 0.376 0.500
Mo 0.500 0.500 0.000
Pt 0.248 0.248 0.000
Pt 0.752 0.752 0.000